[1]
GdBi: optimized geometry, PBE-GGA.

Output
E_tot, eV/atom: -5.17
V, Å³/atom: 32.38
Energy above the most stable polymorph in this dataset, eV per atom: 0.097
Space group: No. 194
Spin magnetization, μB/f.u.: 0.00

Cell lengths 4.533, 4.533, 7.278 Å; angles 90.00, 90.00, 120.00 degrees
Element x y z (fractional)
Gd 0.000 0.000 0.000
Gd 0.000 0.000 0.500
Bi 0.333 0.667 0.750
Bi 0.667 0.333 0.250

---

[2]
ScGeTe3Au: optimized geometry, PBE-GGA.

Output
E_tot, eV/atom: -4.36
V, Å³/atom: 27.85
Energy above the most stable polymorph in this dataset, eV per atom: 0.043
Space group: No. 62
Spin magnetization, μB/f.u.: 0.00

Cell lengths 12.435, 4.105, 13.093 Å; angles 90.00, 90.00, 90.00 degrees
Element x y z (fractional)
Te 0.583 0.500 0.927
Te 0.621 0.000 0.295
Te 0.917 0.500 0.427
Te 0.657 0.500 0.561
Te 0.121 0.500 0.205
Te 0.879 0.000 0.795
Te 0.843 0.500 0.061
Te 0.157 0.000 0.939
Te 0.379 0.500 0.705
Te 0.343 0.000 0.439
Te 0.083 0.000 0.573
Te 0.417 0.000 0.073
Sc 0.168 0.500 0.420
Sc 0.668 0.000 0.080
Sc 0.832 0.000 0.580
Sc 0.332 0.500 0.920
Au 0.269 0.000 0.238
Au 0.731 0.500 0.762
Au 0.231 0.000 0.738
Au 0.769 0.500 0.262
Ge 0.917 0.000 0.232
Ge 0.083 0.500 0.768
Ge 0.417 0.500 0.268
Ge 0.583 0.000 0.732

---

[3]
LiNdW: optimized geometry, PBE-GGA.

Output
E_tot, eV/atom: -5.25
V, Å³/atom: 21.46
Space group: No. 216
Spin magnetization, μB/f.u.: 0.00

Cell lengths 4.499, 4.499, 4.499 Å; angles 60.00, 60.00, 60.00 degrees
Element x y z (fractional)
Nd 0.250 0.250 0.250
Li 0.000 0.000 0.000
W 0.750 0.750 0.750

---

[4]
NaReAuS3: optimized geometry, PBE-GGA.

Output
E_tot, eV/atom: -5.12
V, Å³/atom: 19.95
Space group: No. 63
Spin magnetization, μB/f.u.: 1.04

Cell lengths 7.885, 7.885, 9.496 Å; angles 90.00, 90.00, 156.08 degrees
Last column: magnetic moment on the atom in μB.
Element x y z (fractional)
S 0.618 0.382 0.488  0.01
S 0.382 0.618 0.988  0.01
S 0.967 0.033 0.250  0.07
S 0.033 0.967 0.750  0.07
S 0.382 0.618 0.512  0.01
S 0.618 0.382 0.012  0.01
Re 0.000 0.000 0.000  0.77
Re 0.000 0.000 0.500  0.78
Na 0.308 0.692 0.250  0.01
Na 0.692 0.308 0.750  0.01
Au 0.646 0.354 0.250  0.02
Au 0.354 0.646 0.750  0.02

---

[5]
Nd2GdMg3AgAu2: optimized geometry, PBE-GGA.

Output
E_tot, eV/atom: -3.67
V, Å³/atom: 24.22
Space group: No. 38
Spin magnetization, μB/f.u.: 0.01

Cell lengths 4.060, 7.870, 7.870 Å; angles 119.91, 90.00, 90.00 degrees
Element x y z (fractional)
Nd 0.000 0.000 0.416
Nd 0.000 0.416 0.000
Au 0.500 0.665 0.339
Au 0.500 0.339 0.665
Mg 0.500 0.998 0.753
Mg 0.500 0.753 0.998
Mg 0.500 0.248 0.248
Gd 0.000 0.584 0.584
Ag 0.000 0.997 0.997

---

[6]
NaSmCoTe3: optimized geometry, PBE-GGA.

Output
E_tot, eV/atom: -4.51
V, Å³/atom: 29.51
Energy above the most stable polymorph in this dataset, eV per atom: 0.027
Space group: No. 63
Spin magnetization, μB/f.u.: 2.45

Cell lengths 7.702, 7.702, 11.383 Å; angles 90.00, 90.00, 31.63 degrees
Last column: magnetic moment on the atom in μB.
Element x y z (fractional)
Te 0.640 0.640 0.919  0.08
Te 0.640 0.640 0.581  0.08
Te 0.082 0.082 0.250  0.09
Te 0.360 0.360 0.419  0.08
Te 0.918 0.918 0.750  0.09
Te 0.360 0.360 0.081  0.08
Co 0.523 0.523 0.750  1.83
Co 0.477 0.477 0.250  1.83
Na 0.243 0.243 0.750  0.00
Na 0.757 0.757 0.250  0.00
Sm 0.000 0.000 0.500  0.02
Sm 0.000 0.000 0.000  0.03

---

[7]
BaTbPO: optimized geometry, PBE-GGA.

Output
E_tot, eV/atom: -6.09
V, Å³/atom: 26.18
Energy above the most stable polymorph in this dataset, eV per atom: 0.172
Space group: No. 26
Spin magnetization, μB/f.u.: 0.00

Cell lengths 4.050, 6.952, 7.439 Å; angles 90.00, 90.00, 90.00 degrees
Element x y z (fractional)
Ba 0.500 0.941 0.095
Ba 0.500 0.059 0.595
O 0.500 0.271 0.887
O 0.500 0.729 0.387
P 0.000 0.252 0.313
P 0.000 0.748 0.813
Tb 0.000 0.613 0.459
Tb 0.000 0.387 0.959

---

[8]
La3Ta2O6: optimized geometry, PBE-GGA.

Output
E_tot, eV/atom: -8.83
V, Å³/atom: 14.55
Space group: No. 139
Spin magnetization, μB/f.u.: 0.01

Cell lengths 10.118, 10.118, 10.118 Å; angles 156.85, 156.85, 32.97 degrees
Element x y z (fractional)
La 0.818 0.818 0.000
La 0.000 0.000 0.000
La 0.182 0.182 0.000
O 0.705 0.705 0.000
O 0.406 0.906 0.500
O 0.906 0.406 0.500
O 0.594 0.094 0.500
O 0.094 0.594 0.500
O 0.295 0.295 0.000
Ta 0.569 0.569 0.000
Ta 0.431 0.431 0.000